Version a
This record from the Alexandria database describes crystalline MnHgPS2 at its relaxed geometry. The functional is PBE-GGA.

```
data_MnHgPS2
_chemical_formula_sum 'Mn1 Hg1 P1 S2'
_cell_length_a 4.602
_cell_length_b 4.602
_cell_length_c 4.523
_cell_angle_alpha 90.00
_cell_angle_beta 90.00
_cell_angle_gamma 90.00
_space_group_name_H-M_alt 'P 4/m m m'
_space_group_IT_number 123
_space_group_name_Hall '-P 4 2'
loop_
_atom_site_label
_atom_site_type_symbol
_atom_site_fract_x
_atom_site_fract_y
_atom_site_fract_z
Mn1 Mn 0.000 0.000 0.000
Hg1 Hg 0.500 0.500 0.500
P1 P 0.000 0.000 0.500
S1 S 0.000 0.500 0.000
```

Properties
V ... 95.8 Å³/cell

Version b
This record from the Alexandria database describes crystalline MnHgPS2 at its relaxed geometry. The functional is PBE-GGA.

```
data_MnHgPS2
_chemical_formula_sum 'Mn1 Hg1 P1 S2'
_cell_length_a 5.023
_cell_length_b 5.023
_cell_length_c 4.933
_cell_angle_alpha 90.00
_cell_angle_beta 90.00
_cell_angle_gamma 90.00
_space_group_name_H-M_alt 'P 4/m m m'
_space_group_IT_number 123
_space_group_name_Hall '-P 4 2'
loop_
_atom_site_label
_atom_site_type_symbol
_atom_site_fract_x
_atom_site_fract_y
_atom_site_fract_z
Mn1 Mn 0.000 0.000 0.000
Hg1 Hg 0.500 0.500 0.500
P1 P 0.500 0.500 0.000
S1 S 0.000 0.500 0.500
```

Properties
V ... 124.4 Å³/cell

The structure with the least stability is version b.

Version a
This record from the Alexandria database describes crystalline MnHgP2S at its relaxed geometry. The functional is PBE-GGA.

```
data_MnHgP2S
_chemical_formula_sum 'Mn1 Hg1 P2 S1'
_cell_length_a 4.916
_cell_length_b 4.916
_cell_length_c 4.958
_cell_angle_alpha 90.00
_cell_angle_beta 90.00
_cell_angle_gamma 90.00
_space_group_name_H-M_alt 'P 4/m m m'
_space_group_IT_number 123
_space_group_name_Hall '-P 4 2'
loop_
_atom_site_label
_atom_site_type_symbol
_atom_site_fract_x
_atom_site_fract_y
_atom_site_fract_z
Mn1 Mn 0.000 0.000 0.000
Hg1 Hg 0.500 0.500 0.500
P1 P 0.000 0.500 0.500
S1 S 0.500 0.500 0.000
```

Properties
V ... 119.8 Å³/cell

Version b
This record from the Alexandria database describes crystalline MnHgP2S at its relaxed geometry. The functional is PBE-GGA.

```
data_MnHgP2S
_chemical_formula_sum 'Mn1 Hg1 P2 S1'
_cell_length_a 4.232
_cell_length_b 4.232
_cell_length_c 5.305
_cell_angle_alpha 90.00
_cell_angle_beta 90.00
_cell_angle_gamma 90.00
_space_group_name_H-M_alt 'P 4/m m m'
_space_group_IT_number 123
_space_group_name_Hall '-P 4 2'
loop_
_atom_site_label
_atom_site_type_symbol
_atom_site_fract_x
_atom_site_fract_y
_atom_site_fract_z
Mn1 Mn 0.000 0.000 0.000
Hg1 Hg 0.500 0.500 0.500
P1 P 0.000 0.500 0.000
S1 S 0.000 0.000 0.500
```

Properties
V ... 95.0 Å³/cell

The structure with the least stability is version a.